Entry from Alexandria: a geometry-optimized Sc6AsP3S2 structure (GGA-PBE).

a = 3.758 Å, b = 7.525 Å, c = 8.409 Å
α = 103.12°, β = 102.91°, γ = 90.00°
Positions (direct):
Sc1 0.335 0.411 0.671
Sc2 0.669 0.079 0.339
Sc3 0.001 0.744 0.002
Sc4 0.331 0.921 0.661
Sc5 0.665 0.589 0.329
Sc6 0.999 0.256 0.998
P1 0.167 0.832 0.334
P2 0.833 0.168 0.666
P3 0.500 0.500 0.000
As1 0.500 0.000 0.000
S1 0.832 0.664 0.664
S2 0.168 0.336 0.336

Output
V (A^3/atom): 18.78
Formation energy without anion corrections (meV/atom): -1646

Entry from Alexandria: a geometry-optimized TbScI6 structure (GGA-PBE).

a = 7.308 Å, b = 7.309 Å, c = 8.161 Å
α = 63.40°, β = 81.82°, γ = 71.48°
Positions (direct):
Tb1 0.000 0.000 0.000
I1 0.744 0.745 0.000
I2 0.261 0.881 0.715
I3 0.739 0.404 0.715
I4 0.256 0.255 0.000
I5 0.739 0.119 0.285
I6 0.261 0.596 0.285
Sc1 0.500 0.500 0.000

Output
V (A^3/atom): 46.20
Formation energy without anion corrections (meV/atom): -1261

Entry from Alexandria: a geometry-optimized Pm8HRu5 structure (GGA-PBE).

a = 7.527 Å, b = 7.527 Å, c = 7.527 Å
α = 110.69°, β = 107.07°, γ = 110.69°
Positions (direct):
Pm1 0.260 0.254 0.408
Pm2 0.656 0.375 0.898
Pm3 0.102 0.758 0.478
Pm4 0.154 0.746 0.006
Pm5 0.719 0.242 0.344
Pm6 0.994 0.148 0.740
Pm7 0.592 0.852 0.846
Pm8 0.522 0.625 0.281
Ru1 0.333 0.116 0.982
Ru2 0.866 0.884 0.217
Ru3 0.783 0.649 0.667
Ru4 0.018 0.351 0.134
Ru5 0.500 0.000 0.500
H1 0.250 0.500 0.750

Output
V (A^3/atom): 23.42

Number 1: E_tot -7.2401 eV/atom. Number 2: E_tot -3.7943 eV/atom. Number 3: E_tot -6.4228 eV/atom.